{"formula": "MgWO2F", "functional": "PBE with a Hubbard U", "state": "optimized geometry", "cell": [[3.951, 0.000, 0.000], [0.000, 3.951, 0.000], [0.000, 0.000, 3.616]], "species": ["Mg", "W", "O", "O", "F"], "frac_coords": [[0.000, 0.000, 0.000], [0.500, 0.500, 0.500], [0.000, 0.500, 0.000], [0.500, 0.000, 0.000], [0.000, 0.000, 0.500]], "total_energy_ev_per_cell": -28.00, "sg": "P4/mmm (123)", "volume_a3_per_fu": 56.43}